No. 1
InP3S (GGA-PBE, optimized geometry); E above lowest polymorph = 0.796 eV per atom; magnetic moment = 0.0 μB/f.u.; formation energy without anion corrections = 1.57 eV per atom
1.0
4.9984 0.0000 0.0000
0.0000 4.9984 0.0000
0.0000 0.0000 4.9984
In P S
1 3 1
Direct
0.0000 0.0000 0.0000 In
0.0000 0.0000 0.5000 P
0.0000 0.5000 0.0000 P
0.5000 0.0000 0.0000 P
0.5000 0.5000 0.5000 S

No. 2
In12P5S3 (GGA-PBE, optimized geometry); magnetic moment = 0.0 μB/f.u.; formation energy without anion corrections = 0.08 eV per atom
1.0
-8.2576 8.2576 8.2576
8.2576 -8.2576 8.2576
8.2576 8.2576 -8.2576
In P S
48 20 12
Direct
0.0525 0.2208 0.1451 In
0.0525 0.3317 0.9074 In
0.0757 0.7208 0.6683 In
0.0757 0.8549 0.4074 In
0.0926 0.6451 0.4243 In
0.0926 0.9475 0.6683 In
0.1451 0.0525 0.2208 In
0.1451 0.5926 0.9243 In
0.1683 0.2208 0.5757 In
0.1683 0.4475 0.5926 In
0.2208 0.1451 0.0525 In
0.2208 0.5757 0.1683 In
0.2792 0.3317 0.9243 In
0.2792 0.4475 0.3549 In
0.3317 0.9074 0.0525 In
0.3317 0.9243 0.2792 In
0.3549 0.2792 0.4475 In
0.3549 0.5757 0.9074 In
0.4074 0.0757 0.8549 In
0.4074 0.8317 0.5525 In
0.4243 0.0926 0.6451 In
0.4243 0.8317 0.7792 In
0.4475 0.3549 0.2792 In
0.4475 0.5926 0.1683 In
0.5525 0.4074 0.8317 In
0.5525 0.6451 0.7208 In
0.5757 0.1683 0.2208 In
0.5757 0.9074 0.3549 In
0.5926 0.1683 0.4475 In
0.5926 0.9243 0.1451 In
0.6451 0.4243 0.0926 In
0.6451 0.7208 0.5525 In
0.6683 0.0757 0.7208 In
0.6683 0.0926 0.9475 In
0.7208 0.5525 0.6451 In
0.7208 0.6683 0.0757 In
0.7792 0.4243 0.8317 In
0.7792 0.8549 0.9475 In
0.8317 0.5525 0.4074 In
0.8317 0.7792 0.4243 In
0.8549 0.4074 0.0757 In
0.8549 0.9475 0.7792 In
0.9074 0.0525 0.3317 In
0.9074 0.3549 0.5757 In
0.9243 0.1451 0.5926 In
0.9243 0.2792 0.3317 In
0.9475 0.6683 0.0926 In
0.9475 0.7792 0.8549 In
0.0000 0.0000 0.0000 P
0.0000 0.0000 0.5000 P
0.0000 0.5000 0.0000 P
0.0000 0.5000 0.5000 P
0.1250 0.7500 0.8750 P
0.1250 0.8750 0.2500 P
0.2500 0.1250 0.8750 P
0.2500 0.6250 0.3750 P
0.3750 0.2500 0.6250 P
0.3750 0.6250 0.7500 P
0.5000 0.0000 0.0000 P
0.5000 0.0000 0.5000 P
0.5000 0.5000 0.0000 P
0.5000 0.5000 0.5000 P
0.6250 0.3750 0.2500 P
0.6250 0.7500 0.3750 P
0.7500 0.3750 0.6250 P
0.7500 0.8750 0.1250 P
0.8750 0.1250 0.7500 P
0.8750 0.2500 0.1250 P
0.1250 0.2500 0.3750 S
0.1250 0.3750 0.7500 S
0.2500 0.3750 0.1250 S
0.2500 0.8750 0.6250 S
0.3750 0.1250 0.2500 S
0.3750 0.7500 0.1250 S
0.6250 0.2500 0.8750 S
0.6250 0.8750 0.7500 S
0.7500 0.1250 0.3750 S
0.7500 0.6250 0.8750 S
0.8750 0.6250 0.2500 S
0.8750 0.7500 0.6250 S

No. 3
InP2S6 (GGA-PBE, optimized geometry); magnetic moment = 0.0 μB/f.u.; formation energy without anion corrections = -0.13 eV per atom
1.0
6.0988 -5.4581 0.0000
6.0988 5.4581 0.0000
-2.5226 0.0000 6.5790
In P S
2 4 12
Direct
0.1327 0.8673 0.7500 In
0.8673 0.1327 0.2500 In
0.2012 0.3762 0.7442 P
0.3762 0.2012 0.2442 P
0.6238 0.7988 0.7558 P
0.7988 0.6238 0.2558 P
0.0273 0.1894 0.6559 S
0.0477 0.5928 0.7931 S
0.1894 0.0273 0.1559 S
0.3623 0.3662 0.0584 S
0.3662 0.3623 0.5584 S
0.4072 0.9523 0.7069 S
0.5928 0.0477 0.2931 S
0.6338 0.6377 0.4416 S
0.6377 0.6338 0.9416 S
0.8106 0.9727 0.8441 S
0.9523 0.4072 0.2069 S
0.9727 0.8106 0.3441 S

No. 4
InP3S (GGA-PBE, optimized geometry); E above lowest polymorph = 0.000 eV per atom; magnetic moment = 0.0 μB/f.u.; formation energy without anion corrections = 0.77 eV per atom
1.0
4.5934 0.0000 0.0000
0.0000 4.5934 0.0000
0.0000 0.0000 4.5934
In P S
1 3 1
Direct
0.0000 0.0000 0.0000 In
0.0000 0.5000 0.5000 P
0.5000 0.0000 0.5000 P
0.5000 0.5000 0.0000 P
0.5000 0.5000 0.5000 S

No. 5
ScInPS2 (GGA-PBE, optimized geometry); E above lowest polymorph = 0.000 eV per atom; magnetic moment = 2.2 μB/f.u.; formation energy without anion corrections = -0.04 eV per atom
1.0
5.3848 0.0000 0.0000
0.0000 5.3848 0.0000
0.0000 0.0000 5.7784
Sc In P S
1 1 1 2
Direct
0.0000 0.0000 0.0000 Sc
0.5000 0.5000 0.5000 In
0.0000 0.0000 0.5000 P
0.0000 0.5000 0.0000 S
0.5000 0.0000 0.0000 S

No. 6
ScInP2S (GGA-PBE, optimized geometry); E above lowest polymorph = 0.000 eV per atom; magnetic moment = 0.0 μB/f.u.; formation energy without anion corrections = 0.04 eV per atom
1.0
5.0209 0.0000 0.0000
0.0000 5.0209 0.0000
0.0000 0.0000 4.8987
Sc In P S
1 1 2 1
Direct
0.0000 0.0000 0.0000 Sc
0.5000 0.5000 0.5000 In
0.0000 0.5000 0.0000 P
0.5000 0.0000 0.0000 P
0.0000 0.0000 0.5000 S

No. 7
ScInP2S (GGA-PBE, optimized geometry); E above lowest polymorph = 0.555 eV per atom; magnetic moment = 0.0 μB/f.u.; formation energy without anion corrections = 0.59 eV per atom
1.0
5.1633 0.0000 0.0000
0.0000 5.1633 0.0000
0.0000 0.0000 5.2401
Sc In P S
1 1 2 1
Direct
0.0000 0.0000 0.0000 Sc
0.5000 0.5000 0.5000 In
0.0000 0.5000 0.5000 P
0.5000 0.0000 0.5000 P
0.5000 0.5000 0.0000 S

No. 8
ScInPS2 (GGA-PBE, optimized geometry); E above lowest polymorph = 0.294 eV per atom; magnetic moment = 0.0 μB/f.u.; formation energy without anion corrections = 0.25 eV per atom
1.0
5.1106 0.0000 0.0000
0.0000 5.1106 0.0000
0.0000 0.0000 5.1161
Sc In P S
1 1 1 2
Direct
0.0000 0.0000 0.0000 Sc
0.5000 0.5000 0.5000 In
0.5000 0.5000 0.0000 P
0.0000 0.5000 0.5000 S
0.5000 0.0000 0.5000 S

No. 9
Sc6InP2S3 (GGA-PBE, optimized geometry); magnetic moment = 0.0 μB/f.u.; formation energy without anion corrections = -1.45 eV per atom
1.0
8.2876 -1.8636 0.0000
8.2876 1.8636 0.0000
-1.8743 0.0000 7.4934
Sc In P S
6 1 2 3
Direct
0.0008 0.0008 0.2761 Sc
0.3244 0.3244 0.9035 Sc
0.3285 0.3285 0.4247 Sc
0.6715 0.6715 0.5753 Sc
0.6756 0.6756 0.0965 Sc
0.9992 0.9992 0.7239 Sc
0.5000 0.5000 0.0000 In
0.1663 0.1663 0.3328 P
0.8337 0.8337 0.6672 P
0.1661 0.1661 0.8300 S
0.5000 0.5000 0.5000 S
0.8339 0.8339 0.1700 S

No. 10
InP2SeS (GGA-PBE, optimized geometry); E above lowest polymorph = 0.000 eV per atom; magnetic moment = 0.7 μB/f.u.; formation energy without anion corrections = 0.78 eV per atom
1.0
4.9351 0.0000 0.0000
0.0000 4.9351 0.0000
0.0000 0.0000 4.8860
In P Se S
1 2 1 1
Direct
0.0000 0.0000 0.0000 In
0.0000 0.5000 0.5000 P
0.5000 0.0000 0.5000 P
0.5000 0.5000 0.5000 Se
0.5000 0.5000 0.0000 S

No. 11
InPSeS2 (GGA-PBE, optimized geometry); E above lowest polymorph = 0.000 eV per atom; magnetic moment = 0.0 μB/f.u.; formation energy without anion corrections = 0.58 eV per atom
1.0
4.8898 0.0000 0.0000
0.0000 4.8898 0.0000
0.0000 0.0000 4.8942
In P Se S
1 1 1 2
Direct
0.0000 0.0000 0.0000 In
0.5000 0.5000 0.0000 P
0.5000 0.5000 0.5000 Se
0.0000 0.5000 0.5000 S
0.5000 0.0000 0.5000 S

No. 12
InSiP2S (GGA-PBE, optimized geometry); E above lowest polymorph = 0.000 eV per atom; magnetic moment = 0.0 μB/f.u.; formation energy without anion corrections = 0.41 eV per atom
1.0
4.6227 0.0000 0.0000
0.0000 4.6227 0.0000
0.0000 0.0000 4.5734
In Si P S
1 1 2 1
Direct
0.0000 0.0000 0.0000 In
0.5000 0.5000 0.5000 Si
0.0000 0.5000 0.5000 P
0.5000 0.0000 0.5000 P
0.5000 0.5000 0.0000 S

What is the formula in the twelfth record? InSiP2S